No. 1
Compound: FeHPtRh2
Source: the Alexandria database
Functional: GGA-PBE
Structure: relaxed

The structure in POSCAR format:
```
FeHPtRh2
1.0
3.915 0.000 0.000
0.000 3.915 0.000
0.000 0.000 3.912
H Rh Fe Pt
1 2 1 1
Cartesian
0.000 0.000 0.000
0.000 1.957 0.000
1.957 0.000 0.000
1.957 1.957 1.956
0.000 0.000 1.956
```

Uncorrected energy   -6.570 eV/atom
Spin magnetization   4.5 μB per formula unit


No. 2
Compound: Li4SnPd2
Source: the Alexandria database
Functional: GGA-PBE
Structure: relaxed

The structure in POSCAR format:
```
Li4SnPd2
1.0
7.831 0.756 2.309
-0.304 5.659 -0.954
-1.537 -3.629 5.057
Li Sn Pd
8 2 4
Cartesian
-0.844 -2.924 4.995
1.050 -1.608 3.161
4.644 1.661 5.379
6.514 3.035 3.390
0.930 1.100 2.853
2.879 2.848 3.749
2.677 5.239 0.578
4.744 -0.943 5.775
6.737 0.203 4.051
2.727 2.415 0.911
2.846 0.054 4.236
4.532 4.149 2.108
4.717 1.312 2.538
-0.957 -0.079 4.502
```

Uncorrected energy   -3.609 eV/atom
Energy of formation   -0.46 eV/atom
Spin magnetization   0.0 μB per formula unit


No. 3
Compound: Sc2CrNi2
Source: the Alexandria database
Functional: GGA-PBE
Structure: relaxed

The structure in POSCAR format:
```
Sc2CrNi2
1.0
-2.673 -6.175 -0.449
1.211 -1.001 6.558
-3.240 1.344 0.803
Sc Ni Cr
4 4 2
Cartesian
-1.272 -1.089 4.754
-2.429 -4.325 5.504
-3.431 -4.742 2.158
-2.274 -1.506 1.409
0.060 -3.176 5.558
-1.574 -6.018 3.721
-1.522 -4.000 0.552
0.112 -1.158 2.389
0.000 0.000 0.000
-0.731 -3.588 3.055
```

Uncorrected energy   -6.970 eV/atom
Energy of formation   -0.20 eV/atom
Spin magnetization   3.6 μB per formula unit


No. 4
Compound: TaCo
Source: the Alexandria database
Functional: GGA-PBE
Structure: relaxed

The structure in POSCAR format:
```
TaCo
1.0
5.017 0.000 0.000
-2.508 4.344 0.000
0.000 0.000 7.800
Ta Co
6 6
Cartesian
2.508 1.448 7.304
0.000 2.896 3.404
2.508 1.448 4.397
0.000 2.896 0.496
0.000 0.000 3.900
0.000 0.000 0.000
-1.173 3.574 5.850
2.508 2.803 1.950
1.335 0.771 1.950
1.173 3.574 5.850
0.000 1.542 5.850
3.681 0.771 1.950
```

Uncorrected energy   -9.695 eV/atom
Energy of formation   -0.22 eV/atom
Spin magnetization   0.0 μB per formula unit